{"formula": "HgTePtO", "functional": "PBE-GGA", "state": "relaxed", "lattice": [[-3.294, -0.304, 5.395], [-7.017, -2.060, -4.401], [1.382, -5.809, 0.517]], "species": ["Hg", "Hg", "Hg", "Hg", "O", "O", "O", "O", "Pt", "Pt", "Pt", "Pt", "Te", "Te", "Te", "Te"], "frac_coords": [[0.473, 0.274, 0.472], [0.973, 0.726, 0.472], [0.027, 0.274, 0.972], [0.527, 0.726, 0.972], [0.650, 0.009, 0.270], [0.150, 0.991, 0.270], [0.850, 0.009, 0.770], [0.350, 0.991, 0.770], [0.381, 0.116, 0.094], [0.881, 0.884, 0.094], [0.119, 0.116, 0.594], [0.619, 0.884, 0.594], [0.916, 0.344, 0.414], [0.416, 0.656, 0.414], [0.584, 0.344, 0.914], [0.084, 0.656, 0.914]], "relative_energy_mev_per_atom": 163}

{"formula": "HgTePtO", "functional": "PBE-GGA", "state": "relaxed", "lattice": [[3.958, 0.000, 0.000], [0.000, 3.958, 0.000], [0.000, 0.000, 10.753]], "species": ["Hg", "Hg", "O", "O", "Pt", "Pt", "Te", "Te"], "frac_coords": [[0.250, 0.250, 0.398], [0.750, 0.750, 0.602], [0.750, 0.250, 0.500], [0.250, 0.750, 0.500], [0.750, 0.750, 0.117], [0.250, 0.250, 0.883], [0.250, 0.250, 0.135], [0.750, 0.750, 0.865]], "relative_energy_mev_per_atom": 244}

{"formula": "HgTePtO", "functional": "PBE-GGA", "state": "relaxed", "lattice": [[6.881, 0.000, 0.000], [0.000, 13.778, 0.000], [0.000, 0.000, 7.158]], "species": ["Hg", "Hg", "Hg", "Hg", "Hg", "Hg", "Hg", "Hg", "O", "O", "O", "O", "O", "O", "O", "O", "Pt", "Pt", "Pt", "Pt", "Pt", "Pt", "Pt", "Pt", "Te", "Te", "Te", "Te", "Te", "Te", "Te", "Te"], "frac_coords": [[0.495, 0.249, 0.001], [0.005, 0.749, 0.001], [0.995, 0.249, 0.499], [0.505, 0.749, 0.499], [0.495, 0.251, 0.501], [0.005, 0.751, 0.501], [0.995, 0.251, 0.999], [0.505, 0.751, 0.999], [0.745, 0.290, 0.142], [0.755, 0.790, 0.142], [0.245, 0.290, 0.358], [0.255, 0.790, 0.358], [0.745, 0.210, 0.642], [0.755, 0.710, 0.642], [0.245, 0.210, 0.858], [0.255, 0.710, 0.858], [0.749, 0.068, 0.000], [0.249, 0.432, 0.000], [0.751, 0.568, 0.000], [0.251, 0.932, 0.000], [0.249, 0.068, 0.500], [0.749, 0.432, 0.500], [0.251, 0.568, 0.500], [0.751, 0.932, 0.500], [0.500, 0.500, 0.249], [0.000, 0.000, 0.249], [0.000, 0.500, 0.251], [0.500, 0.000, 0.251], [0.500, 0.000, 0.749], [0.000, 0.500, 0.749], [0.000, 0.000, 0.751], [0.500, 0.500, 0.751]], "relative_energy_mev_per_atom": 58}

{"formula": "HgTePtO", "functional": "PBE-GGA", "state": "relaxed", "lattice": [[-0.092, -4.118, 3.862], [3.912, -2.837, -2.932], [7.274, 4.686, 5.170]], "species": ["Hg", "Hg", "Hg", "Hg", "O", "O", "O", "O", "Pt", "Pt", "Pt", "Pt", "Te", "Te", "Te", "Te"], "frac_coords": [[0.452, 0.139, 0.050], [0.952, 0.361, 0.050], [0.452, 0.639, 0.950], [0.952, 0.861, 0.950], [0.111, 0.016, 0.158], [0.611, 0.484, 0.158], [0.111, 0.516, 0.842], [0.611, 0.984, 0.842], [0.094, 0.000, 0.361], [0.594, 0.500, 0.361], [0.594, 0.000, 0.639], [0.094, 0.500, 0.639], [0.093, 0.501, 0.380], [0.593, 0.999, 0.380], [0.093, 0.001, 0.620], [0.593, 0.499, 0.620]], "relative_energy_mev_per_atom": 6}

{"formula": "HgTePtO", "functional": "PBE-GGA", "state": "relaxed", "lattice": [[-4.014, -6.695, -0.702], [-0.182, -0.453, 5.358], [-7.203, 4.306, 0.119]], "species": ["Hg", "Hg", "Hg", "Hg", "O", "O", "O", "O", "Pt", "Pt", "Pt", "Pt", "Te", "Te", "Te", "Te"], "frac_coords": [[0.325, 0.477, 0.209], [0.675, 0.977, 0.291], [0.175, 0.523, 0.709], [0.825, 0.023, 0.791], [0.447, 0.047, 0.153], [0.553, 0.547, 0.347], [0.053, 0.953, 0.653], [0.947, 0.453, 0.847], [0.011, 0.461, 0.078], [0.989, 0.961, 0.422], [0.489, 0.539, 0.578], [0.511, 0.039, 0.922], [0.037, 0.962, 0.115], [0.963, 0.462, 0.385], [0.463, 0.038, 0.615], [0.537, 0.538, 0.885]], "relative_energy_mev_per_atom": 81}

{"formula": "HgTePtO", "functional": "PBE-GGA", "state": "relaxed", "lattice": [[-2.310, -2.938, -5.283], [-8.398, -3.905, 5.843], [-4.982, 7.627, -2.063]], "species": ["Hg", "Hg", "Hg", "Hg", "Hg", "Hg", "Hg", "Hg", "O", "O", "O", "O", "O", "O", "O", "O", "Pt", "Pt", "Pt", "Pt", "Pt", "Pt", "Pt", "Pt", "Te", "Te", "Te", "Te", "Te", "Te", "Te", "Te"], "frac_coords": [[0.249, 0.143, 0.011], [0.251, 0.643, 0.011], [0.749, 0.143, 0.489], [0.751, 0.643, 0.489], [0.249, 0.357, 0.511], [0.251, 0.857, 0.511], [0.749, 0.357, 0.989], [0.751, 0.857, 0.989], [0.750, 0.146, 0.121], [0.750, 0.646, 0.121], [0.250, 0.146, 0.379], [0.250, 0.646, 0.379], [0.750, 0.354, 0.621], [0.750, 0.854, 0.621], [0.250, 0.354, 0.879], [0.250, 0.854, 0.879], [0.499, 0.146, 0.250], [0.001, 0.646, 0.250], [0.999, 0.146, 0.250], [0.501, 0.646, 0.250], [0.499, 0.354, 0.750], [0.001, 0.854, 0.750], [0.999, 0.354, 0.750], [0.501, 0.854, 0.750], [0.000, 0.396, 0.250], [0.500, 0.896, 0.250], [0.500, 0.396, 0.250], [0.000, 0.896, 0.250], [0.000, 0.104, 0.750], [0.500, 0.604, 0.750], [0.500, 0.104, 0.750], [0.000, 0.604, 0.750]], "relative_energy_mev_per_atom": 0}

{"formula": "HgTePtO", "functional": "PBE-GGA", "state": "relaxed", "lattice": [[-4.868, 0.675, 2.090], [-2.107, -2.871, -3.980], [0.777, -5.577, 3.611]], "species": ["Hg", "Hg", "O", "O", "Pt", "Pt", "Te", "Te"], "frac_coords": [[0.250, 0.250, 0.196], [0.750, 0.750, 0.804], [0.750, 0.750, 0.111], [0.250, 0.250, 0.889], [0.750, 0.750, 0.403], [0.250, 0.250, 0.597], [0.750, 0.250, 0.500], [0.250, 0.750, 0.500]], "relative_energy_mev_per_atom": 172}

{"formula": "HgTePtO", "functional": "PBE-GGA", "state": "relaxed", "lattice": [[4.704, 0.000, 0.000], [0.000, 4.704, 0.000], [0.000, 0.000, 8.138]], "species": ["Hg", "Hg", "O", "O", "Pt", "Pt", "Te", "Te"], "frac_coords": [[0.750, 0.750, 0.176], [0.250, 0.250, 0.824], [0.250, 0.250, 0.093], [0.750, 0.750, 0.907], [0.250, 0.250, 0.331], [0.750, 0.750, 0.669], [0.750, 0.250, 0.500], [0.250, 0.750, 0.500]], "relative_energy_mev_per_atom": 320}

{"formula": "HgTePtO", "functional": "PBE-GGA", "state": "relaxed", "lattice": [[-2.719, -1.841, 2.193], [2.646, -0.459, 2.894], [-2.883, 9.122, 4.083]], "species": ["Hg", "Hg", "O", "O", "Pt", "Pt", "Te", "Te"], "frac_coords": [[0.750, 0.750, 0.383], [0.250, 0.250, 0.617], [0.250, 0.250, 0.384], [0.750, 0.750, 0.616], [0.750, 0.250, 0.000], [0.250, 0.750, 0.000], [0.250, 0.250, 0.185], [0.750, 0.750, 0.815]], "relative_energy_mev_per_atom": 199}

{"formula": "Rb2HgO4", "functional": "PBE-GGA", "state": "relaxed", "lattice": [[5.252, -5.255, 0.000], [-5.252, 0.000, -5.255], [5.252, 5.255, 0.000]], "species": ["Hg", "Hg", "O", "O", "O", "O", "O", "O", "O", "O", "Rb", "Rb", "Rb", "Rb"], "frac_coords": [[0.000, 0.000, 0.000], [0.750, 0.500, 0.250], [0.112, 0.224, 0.336], [0.638, 0.276, 0.362], [0.086, 0.724, 0.362], [0.638, 0.724, 0.362], [0.112, 0.776, 0.888], [0.112, 0.224, 0.888], [0.664, 0.776, 0.888], [0.638, 0.276, 0.914], [0.375, 0.750, 0.125], [0.375, 0.250, 0.625], [0.875, 0.250, 0.625], [0.375, 0.750, 0.625]]}

{"formula": "Rb2HgO2", "functional": "PBE-GGA", "state": "relaxed", "lattice": [[-3.716, -3.399, -2.521], [4.103, -6.028, 2.081], [-6.068, -0.711, 9.904]], "species": ["Hg", "Hg", "Hg", "Hg", "O", "O", "O", "O", "O", "O", "O", "O", "Rb", "Rb", "Rb", "Rb", "Rb", "Rb", "Rb", "Rb"], "frac_coords": [[0.493, 0.914, 0.059], [0.507, 0.414, 0.441], [0.007, 0.086, 0.559], [0.993, 0.586, 0.941], [0.997, 0.409, 0.070], [0.489, 0.744, 0.189], [0.511, 0.244, 0.311], [0.003, 0.909, 0.430], [0.503, 0.591, 0.570], [0.011, 0.256, 0.689], [0.989, 0.756, 0.811], [0.497, 0.091, 0.930], [0.497, 0.396, 0.097], [0.004, 0.158, 0.247], [0.996, 0.658, 0.253], [0.503, 0.896, 0.403], [0.003, 0.604, 0.597], [0.496, 0.842, 0.747], [0.504, 0.342, 0.753], [0.997, 0.104, 0.903]]}

{"formula": "Rb2HgO2", "functional": "PBE-GGA", "state": "relaxed", "lattice": [[11.542, 0.000, 0.000], [0.000, 5.912, 0.000], [0.000, 0.000, 6.748]], "species": ["Hg", "Hg", "Hg", "Hg", "O", "O", "O", "O", "O", "O", "O", "O", "Rb", "Rb", "Rb", "Rb", "Rb", "Rb", "Rb", "Rb"], "frac_coords": [[0.000, 0.172, 0.250], [0.500, 0.672, 0.250], [0.500, 0.328, 0.750], [0.000, 0.828, 0.750], [0.120, 0.188, 0.034], [0.380, 0.688, 0.034], [0.880, 0.188, 0.466], [0.620, 0.688, 0.466], [0.380, 0.312, 0.534], [0.120, 0.812, 0.534], [0.620, 0.312, 0.966], [0.880, 0.812, 0.966], [0.345, 0.183, 0.154], [0.155, 0.683, 0.154], [0.655, 0.183, 0.346], [0.845, 0.683, 0.346], [0.155, 0.317, 0.654], [0.345, 0.817, 0.654], [0.845, 0.317, 0.846], [0.655, 0.817, 0.846]]}

no.,calculated total energy (eV/f.u.)
1,-14.48
2,-14.16
3,-14.90
4,-15.11
5,-14.81
6,-15.13
7,-14.45
8,-13.85
9,-14.34
10,-21.91
11,-17.03
12,-16.76